DFT (PBE) results for crystalline In2ReIr at its relaxed geometry.

a = 6.220 Å, b = 6.220 Å, c = 6.220 Å
α = 153.24°, β = 135.66°, γ = 52.55°
Fractional positions:
In 0.000 0.000 0.000
In 0.690 0.190 0.500
Re 0.439 0.439 0.000
Ir 0.246 0.746 0.500

Results
Energy above the most stable polymorph in this dataset   0.2165 eV per atom
Calculated formation energy   0.326 eV per atom
Symmetry   Imm2


DFT (PBE) results for crystalline YHI at its relaxed geometry.

a = 6.250 Å, b = 6.250 Å, c = 6.010 Å
α = 90.00°, β = 90.00°, γ = 143.74°
Fractional positions:
Y 0.173 0.827 0.750
Y 0.827 0.173 0.250
H 0.395 0.605 0.250
H 0.605 0.395 0.750
I 0.119 0.881 0.250
I 0.881 0.119 0.750

Results
Symmetry   Cmcm
E_tot   -4.4857 eV/atom


DFT (PBE) results for crystalline Rb2TaGeO6 at its relaxed geometry.

a = 5.658 Å, b = 5.658 Å, c = 5.658 Å
α = 60.00°, β = 60.00°, γ = 60.00°
Fractional positions:
Rb 0.250 0.250 0.250
Rb 0.750 0.750 0.750
Ta 0.000 0.000 0.000
Ge 0.500 0.500 0.500
O 0.253 0.253 0.747
O 0.253 0.747 0.253
O 0.253 0.747 0.747
O 0.747 0.253 0.253
O 0.747 0.253 0.747
O 0.747 0.747 0.253

Results
Symmetry   Fm-3m
Energy relative to the elements, uncorrected   -1.841 eV per atom


DFT (PBE) results for crystalline NaTiAlF6 at its relaxed geometry.

a = 5.343 Å, b = 5.343 Å, c = 9.574 Å
α = 90.00°, β = 90.00°, γ = 120.00°
Fractional positions:
Na 0.000 0.000 0.000
Na 0.000 0.000 0.500
Ti 0.333 0.667 0.250
Ti 0.667 0.333 0.750
Al 0.333 0.667 0.750
Al 0.667 0.333 0.250
F 0.042 0.385 0.644
F 0.042 0.658 0.856
F 0.342 0.385 0.856
F 0.342 0.958 0.644
F 0.385 0.042 0.144
F 0.385 0.342 0.356
F 0.615 0.658 0.644
F 0.615 0.958 0.856
F 0.658 0.042 0.356
F 0.658 0.615 0.144
F 0.958 0.342 0.144
F 0.958 0.615 0.356

Results
Symmetry   P-31c
Energy relative to the elements, uncorrected   -3.098 eV per atom


DFT (PBE) results for crystalline CsTaNi2B at its relaxed geometry.

a = 4.023 Å, b = 4.023 Å, c = 5.146 Å
α = 90.00°, β = 90.00°, γ = 90.00°
Fractional positions:
Cs 0.000 0.000 0.000
Ta 0.500 0.500 0.000
Ni 0.000 0.500 0.500
Ni 0.500 0.000 0.500
B 0.000 0.000 0.500

Results
Calculated formation energy   1.575 eV per atom
Symmetry   P4/mmm


DFT (PBE) results for crystalline PaCdIn at its relaxed geometry.

a = 5.162 Å, b = 5.162 Å, c = 3.152 Å
α = 90.00°, β = 90.00°, γ = 120.00°
Fractional positions:
Pa 0.000 0.000 0.000
Cd 0.333 0.667 0.500
In 0.667 0.333 0.500

Results
Energy above the most stable polymorph in this dataset   0.0000 eV per atom
Calculated formation energy   0.022 eV per atom
Symmetry   P-6m2


DFT (PBE) results for crystalline TbPmRu at its relaxed geometry.

a = 4.844 Å, b = 4.844 Å, c = 4.844 Å
α = 60.00°, β = 60.00°, γ = 60.00°
Fractional positions:
Tb 0.000 0.000 0.000
Pm 0.500 0.500 0.500
Ru 0.750 0.750 0.750

Results
Energy above the most stable polymorph in this dataset   0.0337 eV per atom
Calculated formation energy   -0.216 eV per atom
Symmetry   F-43m


DFT (PBE) results for crystalline Ir12Os6Rh at its relaxed geometry.

a = 6.582 Å, b = 6.582 Å, c = 6.582 Å
α = 90.12°, β = 90.12°, γ = 90.12°
Fractional positions:
Ir 0.016 0.302 0.935
Ir 0.065 0.984 0.698
Ir 0.128 0.342 0.462
Ir 0.302 0.935 0.016
Ir 0.342 0.462 0.128
Ir 0.462 0.128 0.342
Ir 0.538 0.872 0.658
Ir 0.658 0.538 0.872
Ir 0.698 0.065 0.984
Ir 0.872 0.658 0.538
Ir 0.935 0.016 0.302
Ir 0.984 0.698 0.065
Os 0.215 0.610 0.761
Os 0.239 0.785 0.390
Os 0.390 0.239 0.785
Os 0.610 0.761 0.215
Os 0.761 0.215 0.610
Os 0.785 0.390 0.239
Rh 0.500 0.500 0.500

Results
Calculated formation energy   0.280 eV per atom
Symmetry   R-3